# 1
## Sm4RuSe2Br (GGA-PBE)

Data for a geometry-optimized Sm4RuSe2Br structure.

energy relative to the elements, uncorrected = -1.216 eV/atom
Fermi-level density of states = 0.857 states/eV/atom

a b c (Å): 4.0464 7.3705 7.4365
angles (deg): 73.13 90.00 90.00
Closest atoms and distances in Å follow each position.
Element x y z (fractional)
Br 0.0000 0.5000 0.5000  6 Sm 3.05-3.10
Sm 0.0000 0.2657 0.2232  2 Ru 2.86, 3 Se 2.91-3.13, 1 Br 3.05
Sm 0.0000 0.7343 0.7768  2 Ru 2.86, 3 Se 2.91-3.13, 1 Br 3.05
Ru 0.5000 0.5000 0.0000  6 Sm 2.76-2.86
Sm 0.5000 0.2528 0.7837  1 Ru 2.76, 2 Se 2.90
Se 0.5000 0.0000 0.5000  6 Sm 3.13-3.19
Sm 0.5000 0.7472 0.2163  1 Ru 2.76, 2 Se 2.90
Se 0.0000 0.0000 0.0000  6 Sm 2.90-2.91


# 2
## Rb4Sm3AlSe8 (GGA-PBE)

Data for a geometry-optimized Rb4Sm3AlSe8 structure.

energy relative to the elements, uncorrected = -1.499 eV/atom

a b c (Å): 8.4714 9.3823 8.4736
angles (deg): 116.87 119.99 90.00
Closest atoms and distances in Å follow each position.
Element x y z (fractional)
Rb 0.5000 0.0000 0.0000  6 Se 3.62
Se 0.7551 0.6890 0.9720  1 Al 2.72, 2 Sm 2.96
Se 0.2661 0.2984 0.5323  3 Sm 2.93
Rb 0.5000 0.0000 0.5000  6 Se 3.42-3.43
Se 0.2449 0.3110 0.0280  1 Al 2.72, 2 Sm 2.96
Sm 0.5000 0.5000 0.0000  6 Se 2.93-2.96
Se 0.7830 0.3110 0.0280  1 Al 2.72, 2 Sm 2.96
Rb 0.0000 0.0000 0.0000  6 Se 3.42-3.43
Se 0.7339 0.7016 0.4677  3 Sm 2.93
Se 0.7825 0.3106 0.5650  1 Al 2.73, 2 Sm 2.96
Se 0.2175 0.6894 0.4350  1 Al 2.73, 2 Sm 2.96
Se 0.2170 0.6890 0.9720  1 Al 2.72, 2 Sm 2.96
Sm 0.0000 0.5000 0.5000  6 Se 2.93-2.96
Rb 0.0000 0.0000 0.5000  6 Se 3.42-3.43
Sm 0.5000 0.5000 0.5000  6 Se 2.93-2.96
Al 0.0000 0.5000 0.0000  6 Se 2.72-2.73


# 3
## SrLi2MgGe (GGA-PBE)

Data for a geometry-optimized SrLi2MgGe structure.

ΔE_f = -119 meV per atom
Fermi-level density of states = 0.532 states/eV/atom

a b c (Å): 5.0616 5.0616 5.2450
angles (deg): 90.00 90.00 90.00
Closest atoms and distances in Å follow each position.
Element x y z (fractional)
Li 0.5000 0.0000 0.0000  2 Ge 2.53
Li 0.0000 0.5000 0.0000  2 Ge 2.53
Sr 0.5000 0.5000 0.5000  4 Mg 3.58, 8 Li 3.64
Ge 0.0000 0.0000 0.0000  4 Li 2.53, 2 Mg 2.62
Mg 0.0000 0.0000 0.5000  2 Ge 2.62


Number 1: electronic total energy -5.82 eV per atom. Number 2: electronic total energy -4.60 eV per atom. Number 3: electronic total energy -2.46 eV per atom.